1.
Below is crystalline ScAlOs at its relaxed geometry, with properties calculated at the GGA-PBE level.

Summary:
Crystal system ... tetragonal

Cell: 5.2621 5.2621 5.2621 Å, 144.16 144.16 51.59°
With the nearest neighbours (Å) after each atom.
Element x y z (fractional)
Sc (0.6771, 0.6771, 0.0000)  4 Os 2.79, 5 Al 2.84-2.97
Os (0.3456, 0.3456, 0.0000)  4 Al 2.61, 4 Sc 2.79
Al (0.9773, 0.9773, 0.0000)  4 Os 2.61, 1 Sc 2.84

2.
Below is crystalline La2Ho3Ag2 at its relaxed geometry, with properties calculated at the GGA-PBE level.

Summary:
Crystal system ... monoclinic

Cell: 5.0919 6.0179 8.3236 Å, 112.52 90.00 115.03°
With the nearest neighbours (Å) after each atom.
Element x y z (fractional)
La (0.8786, 0.7572, 0.2360)  4 Ag 3.21-3.44
La (0.1214, 0.2428, 0.7640)  4 Ag 3.21-3.44
Ho (0.5000, 0.0000, 0.0000)  4 Ag 3.05
Ho (0.6405, 0.2809, 0.4596)  1 Ag 2.92
Ho (0.3595, 0.7191, 0.5404)  1 Ag 2.92
Ag (0.8490, 0.6979, 0.8241)  3 Ho 2.92-3.05, 1 La 3.21
Ag (0.1510, 0.3021, 0.1759)  3 Ho 2.92-3.05, 1 La 3.21

3.
Below is crystalline BaZrTl2Sb at its relaxed geometry, with properties calculated at the GGA-PBE level.

Summary:
ΔE_f (raw) ... 0.76 eV per atom
Crystal system ... tetragonal

Cell: 5.7851 6.4689 5.7851 Å, 90.00 90.00 90.00°
With the nearest neighbours (Å) after each atom.
Element x y z (fractional)
Sb (0.0000, 0.0000, 0.0000)  4 Tl 2.89, 2 Ba 3.23
Tl (0.0000, 0.0000, 0.5000)  2 Sb 2.89
Tl (0.5000, 0.0000, 0.0000)  2 Sb 2.89
Ba (0.0000, 0.5000, 0.0000)  2 Sb 3.23
Zr (0.5000, 0.5000, 0.5000)  4 Ba 4.09, 8 Tl 4.34

4.
Below is crystalline BaCoP2 at its relaxed geometry, with properties calculated at the GGA-PBE level.

Summary:
Relative energy among the computed polymorphs ... 436 meV per atom
Crystal system ... orthorhombic

Cell: 3.9160 3.9160 6.9490 Å, 90.00 90.00 118.85°
With the nearest neighbours (Å) after each atom.
Element x y z (fractional)
Ba (0.5000, 0.5000, 0.2500)  4 P 3.10, 2 Co 3.47
Co (0.5000, 0.5000, 0.7500)  4 P 2.27
P (0.0000, 0.0000, 0.9076)  1 P 2.19, 2 Co 2.27
P (0.0000, 0.0000, 0.5924)  1 P 2.19, 2 Co 2.27

5.
Below is crystalline ZnCrNi2 at its relaxed geometry, with properties calculated at the GGA-PBE level.

Summary:
Crystal system ... trigonal

Cell: 8.4896 8.4896 8.4896 Å, 17.23 17.23 17.23°
With the nearest neighbours (Å) after each atom.
Element x y z (fractional)
Cr (0.2545, 0.2545, 0.2545)  3 Ni 2.46, 6 Cr 2.54, 3 Zn 2.69
Ni (0.9998, 0.9998, 0.9998)  3 Cr 2.46, 9 Ni 2.52-2.54
Ni (0.7479, 0.7479, 0.7479)  9 Ni 2.52-2.54, 3 Zn 2.55
Zn (0.4978, 0.4978, 0.4978)  6 Zn 2.54, 3 Ni 2.55, 3 Cr 2.69

6.
Below is crystalline Dy8TcHg2 at its relaxed geometry, with properties calculated at the GGA-PBE level.

Summary:
Relative energy among the computed polymorphs ... 0 meV per atom
Crystal system ... monoclinic

Cell: 5.3013 6.9299 9.1268 Å, 108.42 106.88 90.00°
With the nearest neighbours (Å) after each atom.
Element x y z (fractional)
Dy (0.4083, 0.5741, 0.8166)  1 Tc 2.86
Dy (0.6551, 0.9537, 0.3102)  1 Tc 2.83, 1 Hg 3.01
Dy (0.8047, 0.7098, 0.6094)  1 Hg 2.97
Dy (0.9773, 0.2096, 0.9545)  1 Hg 3.05, 2 Tc 3.11, 3 Dy 3.25-3.36
Dy (0.1953, 0.2902, 0.3906)  1 Hg 2.97
Dy (0.3449, 0.0463, 0.6898)  1 Tc 2.83, 1 Hg 3.01
Dy (0.5917, 0.4259, 0.1834)  1 Tc 2.86
Dy (0.0227, 0.7904, 0.0455)  1 Hg 3.05, 2 Tc 3.11, 3 Dy 3.25-3.36
Tc (0.5000, 0.0000, 0.0000)  8 Dy 2.83-3.11
Hg (0.8162, 0.2924, 0.6323)  5 Dy 2.97-3.28
Hg (0.1838, 0.7076, 0.3677)  5 Dy 2.97-3.28

7.
Below is crystalline Na4F3 at its relaxed geometry, with properties calculated at the GGA-PBE level.

Summary:
ΔE_f (raw) ... -2.30 eV per atom
Crystal system ... trigonal

Cell: 3.3575 3.3575 11.4777 Å, 81.59 81.59 60.00°
With the nearest neighbours (Å) after each atom.
Element x y z (fractional)
Na (0.3729, 0.3729, 0.8812)  6 F 2.36
Na (0.1198, 0.1198, 0.6407)  3 F 2.37
Na (0.8802, 0.8802, 0.3593)  3 F 2.37
Na (0.6271, 0.6271, 0.1188)  6 F 2.36
F (0.7460, 0.7460, 0.7619)  6 Na 2.36-2.37
F (0.2540, 0.2540, 0.2381)  6 Na 2.36-2.37
F (0.0000, 0.0000, 0.0000)  6 Na 2.36

8.
Below is crystalline Ac2BiPd4 at its relaxed geometry, with properties calculated at the GGA-PBE level.

Summary:
Crystal system ... tetragonal

Cell: 5.0741 5.0741 8.6271 Å, 107.10 107.10 90.00°
With the nearest neighbours (Å) after each atom.
Element x y z (fractional)
Ac (0.6422, 0.6422, 0.2843)  1 Pd 2.86
Ac (0.3578, 0.3578, 0.7157)  1 Pd 2.86
Bi (0.0000, 0.0000, 0.0000)  6 Pd 2.54-2.75
Pd (0.8246, 0.8246, 0.6493)  1 Bi 2.75, 1 Ac 2.86
Pd (0.1754, 0.1754, 0.3507)  1 Bi 2.75, 1 Ac 2.86
Pd (0.0000, 0.5000, 0.0000)  2 Bi 2.54
Pd (0.5000, 0.0000, 0.0000)  2 Bi 2.54

9.
Below is crystalline BaSr2CdS4 at its relaxed geometry, with properties calculated at the GGA-PBE level.

Summary:
ΔE_f (raw) ... -1.71 eV per atom
Crystal system ... orthorhombic

Cell: 4.2748 7.5098 14.8028 Å, 90.00 90.00 106.54°
With the nearest neighbours (Å) after each atom.
Element x y z (fractional)
Ba (0.1201, 0.2401, 0.7500)  6 S 3.25-3.29
Ba (0.8799, 0.7599, 0.2500)  6 S 3.25-3.29
Sr (0.3710, 0.7420, 0.5503)  6 S 2.93-3.17
Sr (0.6290, 0.2580, 0.0503)  6 S 2.93-3.17
Sr (0.6290, 0.2580, 0.4497)  6 S 2.93-3.17
Sr (0.3710, 0.7420, 0.9497)  6 S 2.93-3.17
Cd (0.8493, 0.6987, 0.7500)  4 S 2.53-2.58
Cd (0.1507, 0.3013, 0.2500)  4 S 2.53-2.58
S (0.2667, 0.5335, 0.1217)  1 Cd 2.53
S (0.7333, 0.4665, 0.6217)  1 Cd 2.53
S (0.7333, 0.4665, 0.8783)  1 Cd 2.53
S (0.2667, 0.5335, 0.3783)  1 Cd 2.53
S (0.0000, 0.0000, 0.5000)  4 Sr 2.93
S (0.0000, 0.0000, 0.0000)  4 Sr 2.93
S (0.4500, 0.9000, 0.7500)  2 Cd 2.58
S (0.5500, 0.1000, 0.2500)  2 Cd 2.58

10.
Below is crystalline Ac5TlRu at its relaxed geometry, with properties calculated at the GGA-PBE level.

Summary:
Crystal system ... monoclinic

Cell: 7.3969 7.3969 12.2100 Å, 71.34 71.34 62.54°
With the nearest neighbours (Å) after each atom.
Element x y z (fractional)
Ac (0.9674, 0.6145, 0.1315)  1 Ru 2.87
Ac (0.2107, 0.5589, 0.5369)  1 Ru 2.85
Ac (0.6145, 0.9674, 0.6315)  1 Ru 2.87
Ac (0.9671, 0.0329, 0.2500)  2 Ru 3.06
Ac (0.4411, 0.7893, 0.9631)  1 Ru 2.85
Ac (0.5589, 0.2107, 0.0369)  1 Ru 2.85
Ac (0.0329, 0.9671, 0.7500)  2 Ru 3.06
Ac (0.3855, 0.0326, 0.3685)  1 Ru 2.87
Ac (0.7893, 0.4411, 0.4631)  1 Ru 2.85
Ac (0.0326, 0.3855, 0.8685)  1 Ru 2.87
Tl (0.4942, 0.5058, 0.2500)  7 Ac 3.50-3.69
Tl (0.5058, 0.4942, 0.7500)  7 Ac 3.50-3.69
Ru (0.0000, 0.0000, 0.0000)  6 Ac 2.85-3.06
Ru (0.0000, 0.0000, 0.5000)  6 Ac 2.85-3.06

11.
Below is crystalline Tm3PuIn12 at its relaxed geometry, with properties calculated at the GGA-PBE level.

Summary:
Crystal system ... tetragonal

Cell: 4.6175 4.6175 18.5423 Å, 90.00 90.00 90.00°
With the nearest neighbours (Å) after each atom.
Element x y z (fractional)
Tm (0.0000, 0.0000, 0.2523)  12 In 3.25-3.28
Tm (0.0000, 0.0000, 0.5000)  12 In 3.26-3.27
Tm (0.0000, 0.0000, 0.7477)  12 In 3.25-3.28
Pu (0.0000, 0.0000, 0.0000)  12 In 3.27-3.29
In (0.5000, 0.5000, 0.0000)  4 Pu 3.27, 8 In 3.29
In (0.5000, 0.5000, 0.2500)  8 In 3.25-3.28, 4 Tm 3.27
In (0.5000, 0.5000, 0.5000)  8 In 3.26, 4 Tm 3.27
In (0.5000, 0.5000, 0.7500)  8 In 3.25-3.28, 4 Tm 3.27
In (0.5000, 0.0000, 0.1264)  8 In 3.25-3.29, 2 Tm 3.28, 2 Pu 3.29
In (0.5000, 0.0000, 0.3756)  4 Tm 3.25-3.26, 8 In 3.26-3.28
In (0.5000, 0.0000, 0.6244)  4 Tm 3.25-3.26, 8 In 3.26-3.28
In (0.5000, 0.0000, 0.8736)  8 In 3.25-3.29, 2 Tm 3.28, 2 Pu 3.29
In (0.0000, 0.5000, 0.1264)  8 In 3.25-3.29, 2 Tm 3.28, 2 Pu 3.29
In (0.0000, 0.5000, 0.3756)  4 Tm 3.25-3.26, 8 In 3.26-3.28
In (0.0000, 0.5000, 0.6244)  4 Tm 3.25-3.26, 8 In 3.26-3.28
In (0.0000, 0.5000, 0.8736)  8 In 3.25-3.29, 2 Tm 3.28, 2 Pu 3.29

12.
Below is crystalline ScP2Pt at its relaxed geometry, with properties calculated at the GGA-PBE level.

Summary:
Relative energy among the computed polymorphs ... 0 meV per atom
Crystal system ... trigonal

Cell: 3.6747 3.6747 8.6703 Å, 50.53 50.53 59.91°
With the nearest neighbours (Å) after each atom.
Element x y z (fractional)
P (0.2043, 0.2043, 0.9630)  3 Pt 2.46, 3 Sc 2.71
P (0.2957, 0.2957, 0.5370)  3 Pt 2.46, 3 Sc 2.71
Pt (0.7500, 0.7500, 0.7500)  6 P 2.46
Sc (0.2500, 0.2500, 0.2500)  6 P 2.71, 2 Pt 2.95

Total DFT energy (no corrections) values (in Ry per atom) by entry order: -0.560, -0.314, -0.228, -0.377, -0.408, -0.334, -0.283, -0.369, -0.335, -0.346, -0.303, -0.491.
DOS at the Fermi energy values (in states/eV per cell) by entry order: 0.09, 7.68, 4.39, 3.95, 3.64, 7.14, 0.26, 2.92, 0.00, 15.12, 18.17, 2.34.